1.
PBE-GGA AcPm5Al3, relaxed; formation energy from the elements = -0.19 eV/atom
1.0
1.272 8.420 -3.918
-8.533 -3.878 0.109
-1.306 3.046 6.121
Ac Pm Al
2 10 6
Cartesian
0.000 0.000 0.000 Ac
-0.653 1.523 3.061 Ac
-1.996 4.321 -2.576 Pm
-5.918 1.744 1.827 Pm
-5.265 0.221 -1.234 Pm
-2.650 5.844 0.484 Pm
0.516 6.342 -1.067 Pm
-5.982 -1.809 1.602 Pm
-2.776 2.293 0.245 Pm
-0.551 5.124 3.269 Pm
-3.858 0.976 4.627 Pm
-5.792 5.294 2.066 Pm
0.101 3.593 0.212 Al
-3.197 -0.543 1.567 Al
-5.146 3.776 -0.998 Al
-0.135 7.873 1.990 Al
-6.643 -0.289 4.663 Al
-3.422 3.812 3.309 Al

---

2.
PBE-GGA Ce2Pm3PrP6, relaxed; formation energy from the elements = -1.54 eV/atom
1.0
-3.724 -3.657 4.884
0.267 -2.312 -6.759
6.633 -1.642 2.084
Ce Pm Pr P
2 3 1 6
Cartesian
-1.062 -2.760 -2.882 Ce
-2.395 -3.209 1.007 Ce
2.923 -3.356 -3.790 Pm
0.253 -4.256 3.999 Pm
1.588 -3.806 0.105 Pm
0.000 0.000 0.000 Pr
1.732 -5.929 2.145 P
-0.927 -4.839 -0.877 P
1.444 -1.683 -1.936 P
3.088 -5.472 -1.810 P
4.103 -2.773 1.086 P
0.088 -2.140 2.020 P

---

3.
PBE-GGA Pr2In3Pd4, relaxed; formation energy from the elements = -0.68 eV/atom
1.0
6.091 0.000 0.000
0.000 7.575 0.000
-3.046 0.000 8.488
Pr In Pd
4 6 8
Cartesian
0.000 4.415 1.774 Pr
3.046 3.160 6.713 Pr
0.000 0.628 6.713 Pr
3.046 6.947 1.774 Pr
0.000 0.000 0.000 In
3.046 3.788 0.000 In
1.523 5.681 4.485 In
4.568 1.894 4.003 In
1.523 1.894 4.003 In
-1.523 5.681 4.485 In
1.523 5.681 7.283 Pd
4.568 1.894 1.205 Pd
1.523 1.894 1.205 Pd
-1.523 5.681 7.283 Pd
0.000 7.413 2.835 Pd
3.046 0.162 5.653 Pd
0.000 3.625 5.653 Pd
3.046 3.950 2.835 Pd

---

4.
PBE-GGA MnNiCl2, relaxed; relative energy among the computed polymorphs = 141 meV per atom; formation energy (no corrections) = -248.8 meV/atom
1.0
3.466 -0.026 0.000
-1.416 3.164 0.000
0.000 0.000 7.543
Ni Mn Cl
1 1 2
Cartesian
1.025 1.569 5.582 Ni
0.000 0.000 4.037 Mn
0.000 0.000 6.672 Cl
1.025 1.569 2.566 Cl

---

5.
PBE-GGA CaMnSe2Br, relaxed; relative energy among the computed polymorphs = 0 meV per atom; formation energy (no corrections) = -825.8 meV/atom
1.0
-3.961 2.485 1.699
-2.847 -2.181 -3.448
-1.006 -3.829 3.253
Ca Mn Se Br
1 1 2 1
Cartesian
-3.907 -1.762 0.752 Ca
0.000 0.000 0.000 Mn
-1.424 -1.090 -1.724 Se
-1.980 1.242 0.850 Se
-0.503 -1.914 1.626 Br

---

6.
PBE-GGA GaCuRh, relaxed; formation energy from the elements = -0.32 eV/atom; relative energy among the computed polymorphs = 0 meV per atom
1.0
2.805 0.000 0.000
0.000 4.106 0.000
0.000 -2.053 3.555
Rh Cu Ga
1 1 1
Cartesian
0.944 0.000 2.370 Rh
2.375 0.000 0.000 Cu
2.290 2.053 1.185 Ga

---

| no. | uncorrected energy (eV/cell) | magnetization (Bohr magnetons per cell) |
| --- | --- | --- |
| 1 | -81.64 | 0.0 |
| 2 | -81.88 | 0.8 |
| 3 | -89.40 | 0.0 |
| 4 | -19.64 | 4.3 |
| 5 | -23.94 | 4.2 |
| 6 | -15.44 | 0.0 |